[1]
## Nd3Si2ClO8 (PBE)

Data for a relaxed structure of Nd3Si2ClO8.

## Properties
ΔE_f (raw) = -3145 meV/atom
space-group type = C2/c

abc: 7.821 7.821 8.833
angles: 82.66 82.66 48.78
Element x y z (fractional)
1 O 0.266 0.041 0.655
2 O 0.041 0.266 0.155
3 Si 0.212 0.104 0.474
4 Nd 0.420 0.209 0.173
5 O 0.734 0.959 0.345
6 Si 0.104 0.212 0.974
7 Nd 0.074 0.926 0.250
8 Si 0.788 0.896 0.526
9 O 0.616 0.095 0.646
10 O 0.680 0.796 0.081
11 O 0.384 0.905 0.354
12 Cl 0.479 0.521 0.750
13 Nd 0.580 0.791 0.827
14 O 0.796 0.050 0.034
15 O 0.204 0.950 0.966
16 Nd 0.791 0.580 0.327
17 O 0.050 0.796 0.534
18 O 0.204 0.320 0.419
19 O 0.905 0.384 0.854
20 O 0.095 0.616 0.146
21 O 0.796 0.680 0.581
22 O 0.950 0.204 0.466
23 Si 0.896 0.788 0.026
24 O 0.959 0.734 0.845
25 O 0.320 0.204 0.919
26 Nd 0.926 0.074 0.750
27 Cl 0.521 0.479 0.250
28 Nd 0.209 0.420 0.673



[2]
## BaTe2AuN (PBE)

Data for a relaxed structure of BaTe2AuN.

## Properties
ΔE_f (raw) = 1301 meV/atom
space-group type = P4/mmm

abc: 6.944 6.310 6.944
angles: 90.00 90.00 90.00
Site moments in Bohr magnetons follow the coordinates.
Element x y z (fractional)
1 Au 0.000 0.500 0.000  0.13
2 N 0.500 0.500 0.500  1.93
3 Ba 0.000 0.000 0.000  0.00
4 Te 0.500 0.000 0.000  0.64
5 Te 0.000 0.000 0.500  0.75



[3]
## UTl4C3O11 (PBE)

Data for a relaxed structure of UTl4C3O11.

## Properties
ΔE_f (raw) = -1626 meV/atom
space-group type = C2/c

abc: 7.236 7.236 13.072
angles: 86.46 86.46 81.99
Element x y z (fractional)
1 Tl 0.328 0.045 0.650
2 O 0.386 0.520 0.178
3 O 0.520 0.386 0.678
4 O 0.086 0.716 0.088
5 Tl 0.412 0.801 0.946
6 O 0.923 0.952 0.167
7 O 0.849 0.809 0.526
8 U 0.204 0.796 0.250
9 O 0.191 0.151 0.974
10 O 0.284 0.914 0.412
11 C 0.161 0.066 0.409
12 C 0.934 0.839 0.091
13 C 0.508 0.492 0.250
14 U 0.796 0.204 0.750
15 O 0.614 0.480 0.822
16 O 0.642 0.358 0.250
17 O 0.049 0.644 0.321
18 Tl 0.588 0.199 0.054
19 Tl 0.955 0.672 0.850
20 O 0.644 0.049 0.821
21 O 0.809 0.849 0.026
22 O 0.951 0.356 0.679
23 O 0.914 0.284 0.912
24 Tl 0.672 0.955 0.350
25 C 0.492 0.508 0.750
26 C 0.839 0.934 0.591
27 Tl 0.801 0.412 0.446
28 Tl 0.199 0.588 0.554
29 O 0.077 0.048 0.833
30 O 0.716 0.086 0.588
31 C 0.066 0.161 0.909
32 Tl 0.045 0.328 0.150
33 O 0.480 0.614 0.322
34 O 0.048 0.077 0.333
35 O 0.952 0.923 0.667
36 O 0.358 0.642 0.750
37 O 0.151 0.191 0.474
38 O 0.356 0.951 0.179



[4]
## Sr2CuTe (PBE)

Data for a relaxed structure of Sr2CuTe.

## Properties
ΔE_f (raw) = -718 meV/atom
space-group type = Pmmm

abc: 4.018 4.036 8.625
angles: 62.08 90.00 90.00
Element x y z (fractional)
1 Cu 0.500 0.750 0.750
2 Te 0.500 0.250 0.250
3 Sr 0.000 0.494 0.507
4 Sr 0.000 0.006 0.993



[5]
## CdFePb2 (PBE)

Data for a relaxed structure of CdFePb2.

## Properties
calculated formation energy = 1.54 eV/f.u.
space-group type = Pm

abc: 4.328 3.959 5.897
angles: 70.84 90.00 90.00
Site moments in Bohr magnetons follow the coordinates.
Element x y z (fractional)
1 Pb 0.000 0.979 0.917  -0.03
2 Pb 0.500 0.283 0.313  -0.02
3 Cd 0.000 0.698 0.481  -0.02
4 Fe 0.500 0.540 0.789  2.75



[6]
## Cs3Tl2I6 (PBE)

Data for a relaxed structure of Cs3Tl2I6.

## Properties
ΔE_f (raw) = -1055 meV/atom
space-group type = I4/mmm

abc: 6.399 6.399 15.742
angles: 101.73 101.73 90.00
Element x y z (fractional)
1 I 0.300 0.300 0.599
2 Cs 0.173 0.173 0.345
3 Cs 0.000 0.000 0.000
4 I 0.918 0.418 0.836
5 I 0.582 0.082 0.164
6 I 0.418 0.918 0.836
7 Tl 0.403 0.403 0.806
8 Cs 0.827 0.827 0.655
9 Tl 0.597 0.597 0.194
10 I 0.082 0.582 0.164
11 I 0.700 0.700 0.401



[7]
## Tb2Nd3Al3 (PBE)

Data for a relaxed structure of Tb2Nd3Al3.

## Properties
calculated formation energy = -1.79 eV/f.u.
space-group type = P-62m

abc: 3.347 8.609 8.609
angles: 120.00 90.00 90.00
Element x y z (fractional)
1 Tb 0.000 0.333 0.667
2 Nd 0.000 0.245 0.000
3 Al 0.500 0.387 0.387
4 Tb 0.000 0.667 0.333
5 Nd 0.000 0.755 0.755
6 Al 0.500 0.000 0.613
7 Al 0.500 0.613 0.000
8 Nd 0.000 0.000 0.245



[8]
## SiGeRh2 (PBE)

Data for a relaxed structure of SiGeRh2.

## Properties
ΔE_f (raw) = -692 meV/atom
space-group type = P2_1/c

abc: 5.602 6.337 6.674
angles: 90.00 90.04 90.00
Element x y z (fractional)
1 Rh 0.494 0.300 0.851
2 Rh 0.994 0.200 0.851
3 Rh 0.005 0.796 0.605
4 Ge 0.190 0.421 0.124
5 Si 0.814 0.556 0.377
6 Si 0.186 0.444 0.623
7 Ge 0.310 0.921 0.876
8 Si 0.686 0.056 0.623
9 Rh 0.006 0.800 0.149
10 Rh 0.495 0.296 0.395
11 Rh 0.995 0.204 0.395
12 Ge 0.810 0.579 0.876
13 Ge 0.690 0.079 0.124
14 Rh 0.506 0.700 0.149
15 Si 0.314 0.944 0.377
16 Rh 0.505 0.704 0.605



[9]
## SbTeMo (PBE)

Data for a relaxed structure of SbTeMo.

## Properties
ΔE_f (raw) = 42 meV/atom
space-group type = P3m1

abc: 3.421 3.421 7.956
angles: 90.00 90.00 120.00
Element x y z (fractional)
1 Te 0.333 0.667 0.760
2 Sb 0.667 0.333 0.248
3 Mo 0.000 0.000 0.992



[10]
## Si2HgF (PBE)

Data for a relaxed structure of Si2HgF.

## Properties
ΔE_f (raw) = 18 meV/atom
space-group type = Fm-3m

abc: 4.494 4.494 4.494
angles: 60.00 60.00 60.00
Element x y z (fractional)
1 F 0.000 0.000 0.000
2 Si 0.750 0.750 0.750
3 Si 0.250 0.250 0.250
4 Hg 0.500 0.500 0.500



[11]
## Zn3AsIr (PBE)

Data for a relaxed structure of Zn3AsIr.

## Properties
calculated formation energy = 4.76 eV/f.u.
space-group type = Pm-3m

abc: 4.624 4.624 4.624
angles: 90.00 90.00 90.00
Element x y z (fractional)
1 Zn 0.500 0.000 0.000
2 Ir 0.500 0.500 0.500
3 Zn 0.000 0.500 0.000
4 As 0.000 0.000 0.000
5 Zn 0.000 0.000 0.500



[12]
## CsK2AsCl6 (PBE)

Data for a relaxed structure of CsK2AsCl6.

## Properties
ΔE_f (raw) = -1449 meV/atom
space-group type = R3

abc: 7.769 7.768 8.137
angles: 61.49 61.48 59.99
Element x y z (fractional)
1 K 0.013 0.013 0.961
2 Cl 0.990 0.546 0.227
3 As 0.327 0.327 0.020
4 Cl 0.661 0.151 0.794
5 Cs 0.811 0.811 0.568
6 Cl 0.394 0.661 0.794
7 Cl 0.546 0.238 0.227
8 K 0.531 0.531 0.406
9 Cl 0.151 0.394 0.794
10 Cl 0.238 0.990 0.227



Per-record N(E_F), states/eV/f.u.: 0.0 4.3 0.0 1.5 3.1 3.6 8.5 1.9 2.0 2.0 1.1 0.0